VASP calculation (GGA+U) on crystalline Sr3CoCu2O6 at its relaxed geometry.

Lattice parameters (Å, degrees): 5.742 5.742 6.250 90.00 90.00 120.00
Site moments in Bohr magnetons follow the coordinates.
Positions (direct):
Sr 0.333 0.667 0.634  0.00
O 0.675 0.837 0.312  0.03
Co 0.000 0.000 0.500  2.74
Sr 0.667 0.333 0.366  0.00
O 0.163 0.325 0.312  0.03
O 0.163 0.837 0.312  0.03
Cu 0.667 0.333 0.827  -0.11
O 0.325 0.163 0.688  0.03
O 0.837 0.163 0.688  0.03
Sr 0.000 0.000 0.000  0.00
O 0.837 0.675 0.688  0.03
Cu 0.333 0.667 0.173  -0.11

Properties
symmetry = No. 164
ρ = 5.07 g/cm³
raw total energy = -66.362 eV per cell